Computed, not measured: a geometry-optimized Sr5Ag3 structure at the PBE-GGA level of DFT.

The structure in POSCAR format:
```
Sr5Ag3
1.0
2.900 6.130 -3.601
-3.930 2.524 6.094
4.336 -0.329 2.932
Ag Sr
3 5
Direct
0.500 0.500 0.000
0.820 0.180 0.500
0.180 0.820 0.500
0.000 0.000 0.000
0.000 0.500 0.000
0.708 0.708 0.500
0.500 0.000 0.000
0.292 0.292 0.500
```

Values from the calculation:
energy	-2.24	eV/atom
E_form	-0.1233	eV per atom
DOS(E_F)	0.568	states/eV/atom
relative energy among the computed polymorphs	0.125	eV per atom

=====

Computed, not measured: a geometry-optimized Sr3Ag structure at the PBE-GGA level of DFT.

The structure in POSCAR format:
```
Sr3Ag
1.0
5.294 0.000 0.000
0.000 5.290 0.000
0.000 0.000 6.100
Ag Sr
1 3
Direct
0.000 0.000 0.008
0.500 0.500 0.894
0.000 0.500 0.382
0.500 0.000 0.382
```

Values from the calculation:
energy	-1.95	eV/atom
E_form	0.0218	eV per atom
DOS(E_F)	0.747	states/eV/atom
relative energy among the computed polymorphs	0.196	eV per atom

=====

Computed, not measured: a geometry-optimized SrAg2 structure at the PBE-GGA level of DFT.

The structure in POSCAR format:
```
SrAg2
1.0
-2.099 5.616 0.805
-3.330 -4.749 1.718
8.043 0.553 17.117
Ag Sr
16 8
Direct
0.500 0.500 0.500
0.333 0.667 0.623
0.667 0.333 0.123
0.832 0.168 0.250
0.500 0.000 0.500
0.000 0.500 0.500
0.333 0.667 0.877
0.667 0.333 0.377
0.500 0.000 0.000
0.000 0.500 0.000
0.168 0.832 0.750
0.168 0.335 0.750
0.832 0.665 0.250
0.500 0.500 0.000
0.665 0.832 0.750
0.335 0.168 0.250
0.000 0.000 0.404
0.000 0.000 0.096
0.333 0.667 0.345
0.667 0.333 0.655
0.333 0.667 0.155
0.667 0.333 0.845
0.000 0.000 0.904
0.000 0.000 0.596
```

Values from the calculation:
energy	-2.68	eV/atom
E_form	-0.2206	eV per atom
DOS(E_F)	0.773	states/eV/atom